[1]
NpMn3Ge2: optimized geometry, GGA-PBE.

Cell lengths 4.121, 7.306, 7.259 Å; angles 116.34, 90.00, 106.38 degrees
Last column: magnetic moment on the atom in μB.
Fractional positions:
Mn: 0.585 0.170 0.629  -0.68
Mn: 0.033 0.067 0.371  -1.83
Mn: 0.967 0.933 0.629  -1.83
Mn: 0.703 0.407 0.489  -1.05
Mn: 0.415 0.830 0.371  -0.68
Mn: 0.297 0.593 0.511  -1.05
Ge: 0.807 0.615 0.283  0.02
Ge: 0.476 0.951 0.807  0.04
Ge: 0.524 0.049 0.193  0.04
Ge: 0.193 0.385 0.717  0.02
Np: 0.857 0.713 0.928  3.70
Np: 0.143 0.287 0.072  3.70

Results
total magnetization: 0.477 μB per formula unit
V: 93.0 Å³/f.u.
raw total energy: -8.38 eV/atom
formation enthalpy at 0 K: -0.098 eV per atom

***

[2]
Np2MnGe3: optimized geometry, GGA-PBE.

Cell lengths 4.401, 5.660, 5.552 Å; angles 64.55, 66.65, 67.12 degrees
Last column: magnetic moment on the atom in μB.
Fractional positions:
Mn: 0.153 0.368 0.327  -2.59
Np: 0.534 0.192 0.741  3.59
Np: 0.470 0.811 0.250  3.59
Ge: 0.857 0.625 0.662  -0.03
Ge: 0.801 0.238 0.160  -0.04
Ge: 0.187 0.766 0.860  -0.01

Results
total magnetization: 4.733 μB per formula unit
V: 110.6 Å³/f.u.
raw total energy: -8.31 eV/atom
formation enthalpy at 0 K: -0.156 eV per atom

***

[3]
NpMn4Ge: optimized geometry, GGA-PBE.

Cell lengths 4.889, 4.889, 4.889 Å; angles 60.00, 60.00, 60.00 degrees
Last column: magnetic moment on the atom in μB.
Fractional positions:
Mn: 0.627 0.118 0.627  0.65
Mn: 0.627 0.627 0.118  0.65
Mn: 0.627 0.627 0.627  0.65
Mn: 0.118 0.627 0.627  0.65
Np: 0.250 0.250 0.250  3.04
Ge: 0.000 0.000 0.000  -0.01

Results
total magnetization: 5.883 μB per formula unit
V: 82.6 Å³/f.u.
raw total energy: -8.82 eV/atom
formation enthalpy at 0 K: 0.217 eV per atom

***

[4]
NpMnGe2: optimized geometry, GGA-PBE.

Cell lengths 4.242, 6.609, 10.161 Å; angles 90.00, 90.00, 90.00 degrees
Last column: magnetic moment on the atom in μB.
Fractional positions:
Mn: 0.750 0.481 0.898  -1.95
Mn: 0.250 0.519 0.102  -1.95
Mn: 0.250 0.019 0.398  -1.95
Mn: 0.750 0.981 0.602  -1.95
Np: 0.750 0.209 0.130  3.70
Np: 0.250 0.291 0.630  3.70
Np: 0.750 0.709 0.370  3.70
Np: 0.250 0.791 0.870  3.70
Ge: 0.250 0.786 0.576  0.03
Ge: 0.250 0.286 0.924  0.03
Ge: 0.250 0.393 0.325  0.01
Ge: 0.750 0.107 0.825  0.01
Ge: 0.250 0.893 0.175  0.01
Ge: 0.750 0.214 0.424  0.03
Ge: 0.750 0.607 0.675  0.01
Ge: 0.750 0.714 0.076  0.03

Results
total magnetization: 2.016 μB per formula unit
V: 71.2 Å³/f.u.
raw total energy: -8.01 eV/atom
formation enthalpy at 0 K: -0.178 eV per atom

***

[5]
NpMn5Ge6: optimized geometry, GGA-PBE.

Cell lengths 6.887, 5.409, 6.428 Å; angles 65.12, 79.19, 63.52 degrees
Last column: magnetic moment on the atom in μB.
Fractional positions:
Ge: 0.702 0.118 0.368  -0.10
Ge: 0.210 0.354 0.000  -0.10
Ge: 0.790 0.646 0.000  -0.10
Ge: 0.702 0.486 0.632  -0.10
Ge: 0.298 0.514 0.368  -0.10
Ge: 0.298 0.882 0.632  -0.10
Mn: 0.500 0.122 0.755  3.09
Mn: 0.000 0.691 0.618  2.92
Mn: 0.000 0.309 0.382  2.92
Mn: 0.500 0.500 0.000  2.42
Mn: 0.500 0.878 0.245  3.09
Np: 0.000 0.000 0.000  3.56

Results
total magnetization: 17.787 μB per formula unit
V: 194.4 Å³/f.u.
raw total energy: -7.17 eV/atom
formation enthalpy at 0 K: 0.033 eV per atom